[1]
! Tl3Hg7 GGA-PBE relaxed; values from VASP
! Calculated formation energy (eV per atom): -0.025
! Space group: C2/m, No. 12
! Calculated density (kg/m3): 11716
&SYSTEM
  ibrav = 0, nat = 10, ntyp = 2
/
ATOMIC_SPECIES
Tl 204.38 Tl.upf
Hg 200.59 Hg.upf
CELL_PARAMETERS angstrom
1.1705 0.2912 -4.9355
4.3656 -4.9216 0.7440
-7.6202 -4.7365 0.5275
ATOMIC_POSITIONS angstrom
Tl 0.0000 0.0000 0.0000
Tl -1.9927 -4.5922 -3.3597
Tl -0.0912 -4.7747 -0.3043
Hg 2.1828 -2.4608 0.3720
Hg 0.2852 -7.0013 -2.9621
Hg -2.3692 -2.3656 -0.7020
Hg 0.5126 -2.2686 -2.6279
Hg -2.5966 -7.0982 -1.0361
Hg 2.6987 -4.7566 -2.2567
Hg -4.7827 -4.6102 -1.4073

[2]
! TlHg GGA-PBE relaxed; values from VASP
! Calculated formation energy (eV per atom): -0.012
! Space group: Cm, No. 8
! Calculated density (kg/m3): 11530
&SYSTEM
  ibrav = 0, nat = 6, ntyp = 2
/
ATOMIC_SPECIES
Hg 200.59 Hg.upf
Tl 204.38 Tl.upf
CELL_PARAMETERS angstrom
6.5348 -0.3041 -0.3672
5.3689 3.7378 -0.3672
2.3121 0.6669 6.5719
ATOMIC_POSITIONS angstrom
Hg 11.7279 3.3829 -0.3666
Hg 9.2743 2.6752 4.3474
Hg 8.0195 2.3132 0.9427
Tl 4.4797 1.2922 2.3348
Tl 13.0103 3.7528 2.8933
Tl 5.6702 1.6356 5.6540

| no. | uncorrected energy (eV/atom) |
| --- | --- |
| 1 | -0.9463 |
| 2 | -1.3458 |